No. 1
A plane-wave DFT calculation with PBEsol was carried out for Pt2W2N after structural relaxation.

Summary:
ΔE_f (raw): 1359 meV/atom
VASP energy: -8.6543 eV/atom
total moment: 0.203 μB per atom
calculated volume: 82 Å³ per cell

Geometry as extended XYZ:
```
5
Lattice="3.537 0.000 0.000 0.000 3.537 0.000 -1.768 -1.768 6.528" Properties=species:S:1:pos:R:3 pbc="T T T"
W 0.000 1.768 3.264
W 1.768 0.000 3.264
Pt 0.000 0.000 5.242
Pt 1.768 1.768 1.286
N 0.000 0.000 0.000
```

---

No. 2
A plane-wave DFT calculation with PBEsol was carried out for Pt3WN after structural relaxation.

Summary:
ΔE_f (raw): 876 meV/atom
VASP energy: -7.7690 eV/atom
total moment: 0.340 μB per atom
calculated volume: 71 Å³ per cell

Geometry as extended XYZ:
```
5
Lattice="4.134 0.000 0.000 0.000 4.134 0.000 0.000 0.000 4.134" Properties=species:S:1:pos:R:3 pbc="T T T"
W 2.067 2.067 2.067
Pt 0.000 2.067 0.000
Pt 0.000 0.000 2.067
Pt 2.067 0.000 0.000
N 0.000 0.000 0.000
```

---

No. 3
A plane-wave DFT calculation with PBEsol was carried out for Y3PtN after structural relaxation.

Summary:
ΔE_f (raw): -1121 meV/atom
VASP energy: -8.3119 eV/atom
total moment: 0.000 μB per atom
calculated volume: 100 Å³ per cell

Geometry as extended XYZ:
```
5
Lattice="-4.080 -1.980 1.014 -0.623 -1.015 -4.491 2.136 -4.079 0.626" Properties=species:S:1:pos:R:3 pbc="T T T"
Y -0.312 -0.508 -2.246
Y 1.068 -2.040 0.313
Y -2.040 -0.990 0.507
Pt -1.284 -3.537 -1.426
N 0.000 0.000 0.000
```

---

No. 4
A plane-wave DFT calculation with PBEsol was carried out for ZnPtN3 after structural relaxation.

Summary:
ΔE_f (raw): 2194 meV/atom
VASP energy: -4.6306 eV/atom
total moment: 0.001 μB per atom
calculated volume: 54 Å³ per cell

Geometry as extended XYZ:
```
5
Lattice="-1.403 -3.245 -1.309 3.246 -0.680 -1.793 1.307 -1.795 3.047" Properties=species:S:1:pos:R:3 pbc="T T T"
Zn 0.000 0.000 0.000
Pt 1.575 -2.860 -0.027
N 1.623 -0.340 -0.896
N 0.653 -0.897 1.524
N -0.702 -1.623 -0.655
```

---

Repeat the second record exactly.
A plane-wave DFT calculation with PBEsol was carried out for Pt3WN after structural relaxation.

Summary:
ΔE_f (raw): 876 meV/atom
VASP energy: -7.7690 eV/atom
total moment: 0.340 μB per atom
calculated volume: 71 Å³ per cell

Geometry as extended XYZ:
```
5
Lattice="4.134 0.000 0.000 0.000 4.134 0.000 0.000 0.000 4.134" Properties=species:S:1:pos:R:3 pbc="T T T"
W 2.067 2.067 2.067
Pt 0.000 2.067 0.000
Pt 0.000 0.000 2.067
Pt 2.067 0.000 0.000
N 0.000 0.000 0.000
```